{
  "formula": "Pm3Nd4Dy2",
  "functional": "GGA-PBE",
  "state": "relaxed",
  "vol_a3_per_fu": 311,
  "e_tot_ev_per_fu": -41.9,
  "formation_energy_ev_per_atom": 0.067,
  "mass_density_g_cm3": 7.1,
  "polymorph_energy_mev_per_atom": 53,
  "crystal_system": "trigonal",
  "lattice_angstrom": [[3.642, 0.000, 0.000], [-1.821, 3.154, 0.000], [0.000, 0.000, 27.109]],
  "species": ["Pm", "Pm", "Pm", "Nd", "Nd", "Nd", "Nd", "Dy", "Dy"],
  "fractional_positions": [[0.000, 0.000, 0.320], [0.000, 0.000, 0.983], [0.667, 0.333, 0.655], [0.000, 0.000, 0.544], [0.667, 0.333, 0.433], [0.000, 0.000, 0.767], [0.667, 0.333, 0.213], [0.667, 0.333, 0.087], [0.667, 0.333, 0.874]]
}